## i
# B5C7, relaxed, DFT PBE
# Fermi-level density of states in states/eV/f.u.: 1.02
# Mass density in Mg/m³: 2.977
# Spin magnetization in Bohr magnetons per cell: 0.00
data_B5C7
_space_group_name_H-M_alt 'P 1'
_space_group_IT_number 1
_space_group_name_Hall 'P 1'
_cell_length_a 4.3927
_cell_length_b 4.3927
_cell_length_c 8.3152
_cell_angle_alpha 120.01
_cell_angle_beta 120.01
_cell_angle_gamma 34.30
loop_
_atom_site_label
_atom_site_type_symbol
_atom_site_fract_x
_atom_site_fract_y
_atom_site_fract_z
B1 B 0.8730 0.8730 0.0529
C1 C 0.1556 0.1556 0.7175
C2 C 0.6576 0.6576 0.8193
C3 C 0.0185 0.0185 0.9784
C4 C 0.3910 0.3910 0.1761
C5 C 0.5278 0.5278 0.8886
B2 B 0.4585 0.4585 0.3956
C6 C 0.8061 0.8061 0.5417
B3 B 0.1928 0.1928 0.1950
B4 B 0.3045 0.3045 0.6527
B5 B 0.6417 0.6417 0.3176
C7 C 0.9730 0.9730 0.5148


## ii
# B5C7, relaxed, DFT PBE
# Fermi-level density of states in states/eV/f.u.: 0.87
# Mass density in Mg/m³: 2.851
# Spin magnetization in Bohr magnetons per cell: 0.33
data_B5C7
_space_group_name_H-M_alt 'P 1'
_space_group_IT_number 1
_space_group_name_Hall 'P 1'
_cell_length_a 4.5631
_cell_length_b 4.5631
_cell_length_c 7.7090
_cell_angle_alpha 112.83
_cell_angle_beta 112.83
_cell_angle_gamma 33.24
loop_
_atom_site_label
_atom_site_type_symbol
_atom_site_fract_x
_atom_site_fract_y
_atom_site_fract_z
B1 B 0.8708 0.8708 0.0868
B2 B 0.6903 0.6903 0.3546
B3 B 0.1520 0.1520 0.1823
C1 C 0.8409 0.8409 0.5542
C2 C 0.3342 0.3342 0.6679
C3 C 0.1711 0.1711 0.7008
C4 C 0.4913 0.4913 0.8668
B4 B 0.4817 0.4817 0.3799
C5 C 0.3347 0.3347 0.1724
C6 C 0.9887 0.9887 0.9774
B5 B 0.6373 0.6373 0.7924
C7 C 0.0068 0.0068 0.5144


Which is most stable? The ranking, best first, is i, ii.


## i
# Hg2OsRh, relaxed, DFT PBE
# Fermi-level density of states in states/eV/f.u.: 6.40
# Mass density in Mg/m³: 16.644
# Spin magnetization in Bohr magnetons per cell: 0.00
data_Hg2OsRh
_space_group_name_H-M_alt 'P 1'
_space_group_IT_number 1
_space_group_name_Hall 'P 1'
_cell_length_a 4.7096
_cell_length_b 4.7096
_cell_length_c 3.1230
_cell_angle_alpha 90.00
_cell_angle_beta 90.00
_cell_angle_gamma 90.00
loop_
_atom_site_label
_atom_site_type_symbol
_atom_site_fract_x
_atom_site_fract_y
_atom_site_fract_z
Os1 Os 0.5000 0.5000 0.5000
Hg1 Hg 0.0000 0.5000 0.0000
Hg2 Hg 0.5000 0.0000 0.0000
Rh1 Rh 0.0000 0.0000 0.5000


## ii
# Hg2OsRh, relaxed, DFT PBE
# Fermi-level density of states in states/eV/f.u.: 5.77
# Mass density in Mg/m³: 14.985
# Spin magnetization in Bohr magnetons per cell: 0.00
data_Hg2OsRh
_space_group_name_H-M_alt 'P 1'
_space_group_IT_number 1
_space_group_name_Hall 'P 1'
_cell_length_a 7.5863
_cell_length_b 7.5863
_cell_length_c 5.9937
_cell_angle_alpha 50.74
_cell_angle_beta 50.74
_cell_angle_gamma 90.00
loop_
_atom_site_label
_atom_site_type_symbol
_atom_site_fract_x
_atom_site_fract_y
_atom_site_fract_z
Hg1 Hg 0.8750 0.8754 0.7500
Rh1 Rh 0.2500 0.7500 0.5000
Hg2 Hg 0.3750 0.3746 0.7500
Hg3 Hg 0.6254 0.1250 0.2500
Os1 Os 0.0000 0.0000 0.0000
Hg4 Hg 0.1246 0.6250 0.2500
Os2 Os 0.7500 0.2500 0.5000
Rh2 Rh 0.5000 0.5000 0.0000


Which is most stable? The ranking, best first, is i, ii.


## i
# B2C, relaxed, DFT PBE
# Fermi-level density of states in states/eV/f.u.: 0.21
# Mass density in Mg/m³: 2.148
# Spin magnetization in Bohr magnetons per cell: 0.00
data_B2C
_space_group_name_H-M_alt 'P 1'
_space_group_IT_number 1
_space_group_name_Hall 'P 1'
_cell_length_a 6.9295
_cell_length_b 6.9295
_cell_length_c 5.7114
_cell_angle_alpha 87.16
_cell_angle_beta 87.16
_cell_angle_gamma 22.31
loop_
_atom_site_label
_atom_site_type_symbol
_atom_site_fract_x
_atom_site_fract_y
_atom_site_fract_z
C1 C 0.0767 0.0767 0.0981
B1 B 0.6914 0.6914 0.6948
B2 B 0.4423 0.4423 0.3837
B3 B 0.0356 0.0356 0.3834
C2 C 0.7442 0.7442 0.9453
B4 B 0.2947 0.2947 0.0011
B5 B 0.7818 0.7818 0.4711
C3 C 0.3268 0.3268 0.3885
B6 B 0.1183 0.1183 0.5901
B7 B 0.9624 0.9624 0.1281
B8 B 0.6311 0.6311 0.0337
C4 C 0.3949 0.3949 0.1321


## ii
# B2C, relaxed, DFT PBE
# Fermi-level density of states in states/eV/f.u.: 0.37
# Mass density in Mg/m³: 2.793
# Spin magnetization in Bohr magnetons per cell: 0.00
data_B2C
_space_group_name_H-M_alt 'P 1'
_space_group_IT_number 1
_space_group_name_Hall 'P 1'
_cell_length_a 6.3824
_cell_length_b 6.3824
_cell_length_c 4.6929
_cell_angle_alpha 82.31
_cell_angle_beta 82.31
_cell_angle_gamma 24.99
loop_
_atom_site_label
_atom_site_type_symbol
_atom_site_fract_x
_atom_site_fract_y
_atom_site_fract_z
B1 B 0.7528 0.7528 0.4260
C1 C 0.1265 0.1265 0.9727
B2 B 0.1672 0.1672 0.2861
C2 C 0.6269 0.6269 0.4764
B3 B 0.3207 0.3207 0.2317
B4 B 0.4986 0.4986 0.4990
B5 B 0.3785 0.3785 0.8374
B6 B 0.9501 0.9501 0.7203
B7 B 0.6653 0.6653 0.8076
B8 B 0.8090 0.8090 0.7740
C3 C 0.4524 0.4524 0.1900
C4 C 0.0021 0.0021 0.0288


Which is most stable? The ranking, best first, is i, ii.


## i
# BeNbSbPIr, relaxed, DFT PBE
# Fermi-level density of states in states/eV/f.u.: 1.76
# Mass density in Mg/m³: 9.151
# Spin magnetization in Bohr magnetons per cell: 0.00
data_BeNbSbPIr
_space_group_name_H-M_alt 'P 1'
_space_group_IT_number 1
_space_group_name_Hall 'P 1'
_cell_length_a 6.0596
_cell_length_b 3.7161
_cell_length_c 8.4971
_cell_angle_alpha 90.00
_cell_angle_beta 122.05
_cell_angle_gamma 90.00
loop_
_atom_site_label
_atom_site_type_symbol
_atom_site_fract_x
_atom_site_fract_y
_atom_site_fract_z
Nb1 Nb 0.7300 0.5000 0.7119
Be1 Be 0.5364 0.5000 0.3345
P1 P 0.7792 0.5000 0.0277
Nb2 Nb 0.7300 0.0000 0.2119
P2 P 0.7792 0.0000 0.5277
Sb1 Sb 0.1404 0.0000 0.9674
Be2 Be 0.5364 0.0000 0.8345
Sb2 Sb 0.1404 0.5000 0.4674
Ir1 Ir 0.3245 0.5000 0.8270
Ir2 Ir 0.3245 0.0000 0.3270


## ii
# BeNbSbPIr, relaxed, DFT PBE
# Fermi-level density of states in states/eV/f.u.: 1.84
# Mass density in Mg/m³: 8.798
# Spin magnetization in Bohr magnetons per cell: 0.00
data_BeNbSbPIr
_space_group_name_H-M_alt 'P 1'
_space_group_IT_number 1
_space_group_name_Hall 'P 1'
_cell_length_a 6.1403
_cell_length_b 2.9595
_cell_length_c 10.8904
_cell_angle_alpha 90.00
_cell_angle_beta 121.54
_cell_angle_gamma 90.00
loop_
_atom_site_label
_atom_site_type_symbol
_atom_site_fract_x
_atom_site_fract_y
_atom_site_fract_z
Nb1 Nb 0.9894 0.5000 0.2564
Sb1 Sb 0.4036 0.5000 0.0185
P1 P 0.7658 0.0000 0.3591
P2 P 0.7658 0.5000 0.8591
Be1 Be 0.3709 0.5000 0.7824
Nb2 Nb 0.9894 0.0000 0.7564
Ir1 Ir 0.0481 0.5000 0.5497
Sb2 Sb 0.4036 0.0000 0.5185
Ir2 Ir 0.0481 0.0000 0.0497
Be2 Be 0.3709 0.0000 0.2824


Which is most stable? The ranking, best first, is i, ii.


## i
# CaTm2Pb, relaxed, DFT PBE
# Fermi-level density of states in states/eV/f.u.: 4.46
# Mass density in Mg/m³: 8.363
# Spin magnetization in Bohr magnetons per cell: 0.01
data_CaTm2Pb
_space_group_name_H-M_alt 'P 1'
_space_group_IT_number 1
_space_group_name_Hall 'P 1'
_cell_length_a 4.8542
_cell_length_b 4.8923
_cell_length_c 4.8923
_cell_angle_alpha 90.00
_cell_angle_beta 90.00
_cell_angle_gamma 90.00
loop_
_atom_site_label
_atom_site_type_symbol
_atom_site_fract_x
_atom_site_fract_y
_atom_site_fract_z
Tm1 Tm 0.0000 0.0000 0.5000
Ca1 Ca 0.5000 0.5000 0.5000
Pb1 Pb 0.5000 0.0000 0.0000
Tm2 Tm 0.0000 0.5000 0.0000


## ii
# CaTm2Pb, relaxed, DFT PBE
# Fermi-level density of states in states/eV/f.u.: 5.96
# Mass density in Mg/m³: 7.270
# Spin magnetization in Bohr magnetons per cell: 0.00
data_CaTm2Pb
_space_group_name_H-M_alt 'P 1'
_space_group_IT_number 1
_space_group_name_Hall 'P 1'
_cell_length_a 3.5552
_cell_length_b 3.5552
_cell_length_c 12.3815
_cell_angle_alpha 81.75
_cell_angle_beta 81.75
_cell_angle_gamma 60.00
loop_
_atom_site_label
_atom_site_type_symbol
_atom_site_fract_x
_atom_site_fract_y
_atom_site_fract_z
Tm1 Tm 0.0852 0.0852 0.7445
Tm2 Tm 0.9148 0.9148 0.2555
Ca1 Ca 0.5000 0.5000 0.5000
Pb1 Pb 0.0000 0.0000 0.0000


Which is most stable? The ranking, best first, is i, ii.


## i
# KTaHg2, relaxed, DFT PBE
# Fermi-level density of states in states/eV/f.u.: 2.82
# Mass density in Mg/m³: 10.929
# Spin magnetization in Bohr magnetons per cell: 0.00
data_KTaHg2
_space_group_name_H-M_alt 'P 1'
_space_group_IT_number 1
_space_group_name_Hall 'P 1'
_cell_length_a 10.9684
_cell_length_b 10.9684
_cell_length_c 10.9684
_cell_angle_alpha 16.64
_cell_angle_beta 16.64
_cell_angle_gamma 16.64
loop_
_atom_site_label
_atom_site_type_symbol
_atom_site_fract_x
_atom_site_fract_y
_atom_site_fract_z
K1 K 0.7500 0.7500 0.7500
Hg1 Hg 0.5093 0.5093 0.5093
Ta1 Ta 0.2500 0.2500 0.2500
Hg2 Hg 0.9907 0.9907 0.9907


## ii
# KTaHg2, relaxed, DFT PBE
# Fermi-level density of states in states/eV/f.u.: 3.47
# Mass density in Mg/m³: 11.245
# Spin magnetization in Bohr magnetons per cell: 0.00
data_KTaHg2
_space_group_name_H-M_alt 'P 1'
_space_group_IT_number 1
_space_group_name_Hall 'P 1'
_cell_length_a 5.5732
_cell_length_b 5.5732
_cell_length_c 2.9534
_cell_angle_alpha 90.00
_cell_angle_beta 90.00
_cell_angle_gamma 90.15
loop_
_atom_site_label
_atom_site_type_symbol
_atom_site_fract_x
_atom_site_fract_y
_atom_site_fract_z
K1 K 0.5000 0.0000 0.5000
Hg1 Hg 0.0000 0.0000 0.0000
Ta1 Ta 0.0000 0.5000 0.5000
Hg2 Hg 0.5000 0.5000 0.0000


Which is most stable? The ranking, best first, is ii, i.